# 1
Sb4Se3SI4: optimized geometry, PBEsol.

Computed properties:
Space-group type: Pm (6)
Electronic total energy in eV for the cell shown: -45.07
Size of the total moment in μB/atom: 0.00
E_form (uncorrected) in eV per atom: -0.320

Unit cell a=8.579 b=4.074 c=10.425 alpha=90.00 beta=90.18 gamma=90.00
Positions (direct):
Sb (0.000, 0.000, 0.000)
Sb (0.238, 0.500, 0.748)
Sb (0.501, 0.000, 0.246)
Sb (0.741, 0.500, 0.508)
Se (0.293, 0.000, 0.925)
Se (0.449, 0.500, 0.423)
Se (0.790, 0.000, 0.330)
S (0.966, 0.500, 0.835)
I (0.094, 0.000, 0.554)
I (0.136, 0.500, 0.198)
I (0.601, 0.000, 0.704)
I (0.646, 0.500, 0.051)

---

# 2
Sn2SbS2I3: optimized geometry, PBEsol.

Computed properties:
Space-group type: Cmcm (63)
Electronic total energy in eV for the cell shown: -60.06
Size of the total moment in μB/atom: 0.00
E_form (uncorrected) in eV per atom: -0.361

Unit cell a=7.230 b=7.230 c=15.758 alpha=90.00 beta=90.00 gamma=145.98
Positions (direct):
Sn (0.129, 0.871, 0.527)
Sn (0.129, 0.871, 0.973)
Sn (0.871, 0.129, 0.027)
Sn (0.871, 0.129, 0.473)
Sb (0.198, 0.802, 0.250)
Sb (0.802, 0.198, 0.750)
S (0.269, 0.731, 0.085)
S (0.269, 0.731, 0.415)
S (0.731, 0.269, 0.585)
S (0.731, 0.269, 0.915)
I (0.147, 0.853, 0.750)
I (0.436, 0.564, 0.632)
I (0.436, 0.564, 0.868)
I (0.564, 0.436, 0.132)
I (0.564, 0.436, 0.368)
I (0.853, 0.147, 0.250)

---

# 3
SnSbSI2: optimized geometry, PBEsol.

Computed properties:
Space-group type: P4/mmm (123)
Electronic total energy in eV for the cell shown: -13.18
Size of the total moment in μB/atom: 0.06
Fermi-level density of states in states/eV per atom: 0.7357
E_form (uncorrected) in eV per atom: 0.712

Unit cell a=5.703 b=5.703 c=5.874 alpha=90.00 beta=90.00 gamma=90.00
Positions (direct):
Sn (0.000, 0.000, 0.000)
Sb (0.000, 0.000, 0.500)
S (0.500, 0.500, 0.500)
I (0.000, 0.500, 0.000)
I (0.500, 0.000, 0.000)

---

# 4
TaSb2SI: optimized geometry, PBEsol.

Computed properties:
Space-group type: P4/mmm (123)
Electronic total energy in eV for the cell shown: -24.70
Size of the total moment in μB/atom: 0.00
Fermi-level density of states in states/eV per atom: 0.7257
E_form (uncorrected) in eV per atom: 0.624

Unit cell a=5.320 b=5.320 c=5.160 alpha=90.00 beta=90.00 gamma=90.00
Positions (direct):
Ta (0.000, 0.000, 0.000)
Sb (0.000, 0.500, 0.000)
Sb (0.500, 0.000, 0.000)
S (0.500, 0.500, 0.500)
I (0.000, 0.000, 0.500)

---

# 5
TiSb2SI: optimized geometry, PBEsol.

Computed properties:
Space-group type: P4/mmm (123)
Electronic total energy in eV for the cell shown: -20.11
Size of the total moment in μB/atom: 0.31
Fermi-level density of states in states/eV per atom: 1.4648
E_form (uncorrected) in eV per atom: 0.696

Unit cell a=5.128 b=5.128 c=5.126 alpha=90.00 beta=90.00 gamma=90.00
Positions (direct):
Ti (0.000, 0.000, 0.000)
Sb (0.000, 0.500, 0.500)
Sb (0.500, 0.000, 0.500)
S (0.500, 0.500, 0.500)
I (0.500, 0.500, 0.000)

---

# 6
TlSbSI2: optimized geometry, PBEsol.

Computed properties:
Space-group type: P4/mmm (123)
Electronic total energy in eV for the cell shown: -10.98
Size of the total moment in μB/atom: 0.10
Fermi-level density of states in states/eV per atom: 0.7308
E_form (uncorrected) in eV per atom: 0.826

Unit cell a=5.794 b=5.794 c=5.862 alpha=90.00 beta=90.00 gamma=90.00
Positions (direct):
Tl (0.000, 0.000, 0.000)
Sb (0.000, 0.000, 0.500)
S (0.500, 0.500, 0.500)
I (0.000, 0.500, 0.000)
I (0.500, 0.000, 0.000)

---

# 7
YSb2SI: optimized geometry, PBEsol.

Computed properties:
Space-group type: P4/mmm (123)
Electronic total energy in eV for the cell shown: -19.69
Size of the total moment in μB/atom: 0.04
Fermi-level density of states in states/eV per atom: 1.0963
E_form (uncorrected) in eV per atom: 0.480

Unit cell a=5.795 b=5.795 c=5.552 alpha=90.00 beta=90.00 gamma=90.00
Positions (direct):
Y (0.000, 0.000, 0.000)
Sb (0.000, 0.500, 0.000)
Sb (0.500, 0.000, 0.000)
S (0.500, 0.500, 0.500)
I (0.000, 0.000, 0.500)

---

# 8
ScSI3: optimized geometry, PBEsol.

Computed properties:
Space-group type: Pm-3m (221)
Electronic total energy in eV for the cell shown: -17.54
Excess energy over the best structure of this formula in the dataset in kcal/mol of atoms: 0.000
Size of the total moment in μB/atom: 0.40
Fermi-level density of states in states/eV per atom: 0.8071
E_form (uncorrected) in eV per atom: -0.250

Unit cell a=5.603 b=5.603 c=5.603 alpha=90.00 beta=90.00 gamma=90.00
Positions (direct):
Sc (0.000, 0.000, 0.000)
S (0.500, 0.500, 0.500)
I (0.000, 0.000, 0.500)
I (0.000, 0.500, 0.000)
I (0.500, 0.000, 0.000)

---

# 9
ScSI3: optimized geometry, PBEsol.

Computed properties:
Space-group type: Pm-3m (221)
Electronic total energy in eV for the cell shown: -15.20
Excess energy over the best structure of this formula in the dataset in kcal/mol of atoms: 10.781
Size of the total moment in μB/atom: 0.29
Fermi-level density of states in states/eV per atom: 1.3460
E_form (uncorrected) in eV per atom: 0.218

Unit cell a=5.438 b=5.438 c=5.438 alpha=90.00 beta=90.00 gamma=90.00
Positions (direct):
Sc (0.000, 0.000, 0.000)
S (0.500, 0.500, 0.500)
I (0.000, 0.500, 0.500)
I (0.500, 0.000, 0.500)
I (0.500, 0.500, 0.000)

---

# 10
ScWS2I: optimized geometry, PBEsol.

Computed properties:
Space-group type: P4/mmm (123)
Electronic total energy in eV for the cell shown: -21.92
Size of the total moment in μB/atom: 0.77
Fermi-level density of states in states/eV per atom: 1.3714
E_form (uncorrected) in eV per atom: 1.805

Unit cell a=5.078 b=5.078 c=5.241 alpha=90.00 beta=90.00 gamma=90.00
Positions (direct):
Sc (0.000, 0.000, 0.000)
W (0.500, 0.500, 0.000)
S (0.000, 0.500, 0.500)
S (0.500, 0.000, 0.500)
I (0.000, 0.000, 0.500)

---

# 11
Te2SeSI: optimized geometry, PBEsol.

Computed properties:
Space-group type: P4/mmm (123)
Electronic total energy in eV for the cell shown: -12.79
Size of the total moment in μB/atom: 0.14
Fermi-level density of states in states/eV per atom: 1.2386
E_form (uncorrected) in eV per atom: 0.854

Unit cell a=5.443 b=5.443 c=5.339 alpha=90.00 beta=90.00 gamma=90.00
Positions (direct):
Te (0.000, 0.500, 0.000)
Te (0.500, 0.000, 0.000)
Se (0.000, 0.000, 0.000)
S (0.500, 0.500, 0.500)
I (0.000, 0.000, 0.500)

---

# 12
ZnSeSI2: optimized geometry, PBEsol.

Computed properties:
Space-group type: P4/mmm (123)
Electronic total energy in eV for the cell shown: -10.26
Size of the total moment in μB/atom: 0.41
Fermi-level density of states in states/eV per atom: 0.7543
E_form (uncorrected) in eV per atom: 0.619

Unit cell a=5.617 b=5.617 c=4.920 alpha=90.00 beta=90.00 gamma=90.00
Positions (direct):
Zn (0.000, 0.000, 0.000)
Se (0.000, 0.000, 0.500)
S (0.500, 0.500, 0.000)
I (0.000, 0.500, 0.500)
I (0.500, 0.000, 0.500)

---

# 13
SmSI: optimized geometry, PBEsol.

Computed properties:
Space-group type: R-3m (166)
Electronic total energy in eV for the cell shown: -33.35
Size of the total moment in μB/atom: 0.00
Fermi-level density of states in states/eV per atom: 0.0000
E_form (uncorrected) in eV per atom: -1.811

Unit cell a=11.239 b=11.239 c=11.239 alpha=23.25 beta=23.25 gamma=23.25
Positions (direct):
Sm (0.113, 0.113, 0.113)
Sm (0.887, 0.887, 0.887)
S (0.198, 0.198, 0.198)
S (0.802, 0.802, 0.802)
I (0.386, 0.386, 0.386)
I (0.614, 0.614, 0.614)

---

# 14
Sn3SI: optimized geometry, PBEsol.

Computed properties:
Space-group type: Pm-3m (221)
Electronic total energy in eV for the cell shown: -17.67
Size of the total moment in μB/atom: 0.00
Fermi-level density of states in states/eV per atom: 1.3152
E_form (uncorrected) in eV per atom: 0.253

Unit cell a=5.386 b=5.386 c=5.386 alpha=90.00 beta=90.00 gamma=90.00
Positions (direct):
Sn (0.000, 0.000, 0.500)
Sn (0.000, 0.500, 0.000)
Sn (0.500, 0.000, 0.000)
S (0.000, 0.000, 0.000)
I (0.500, 0.500, 0.500)

---

# 15
Sn2S2I: optimized geometry, PBEsol.

Computed properties:
Space-group type: I4/mmm (139)
Electronic total energy in eV for the cell shown: -20.68
Size of the total moment in μB/atom: 0.00
Fermi-level density of states in states/eV per atom: 0.5079
E_form (uncorrected) in eV per atom: -0.325

Unit cell a=6.593 b=6.593 c=6.593 alpha=138.10 beta=138.10 gamma=60.75
Positions (direct):
Sn (0.140, 0.140, 0.000)
Sn (0.860, 0.860, 0.000)
S (0.250, 0.750, 0.500)
S (0.750, 0.250, 0.500)
I (0.500, 0.500, 0.000)

---

# 16
Sn7S2I6: optimized geometry, PBEsol.

Computed properties:
Space-group type: C2/m (12)
Electronic total energy in eV for the cell shown: -54.09
Size of the total moment in μB/atom: 0.00
Fermi-level density of states in states/eV per atom: 0.1172
E_form (uncorrected) in eV per atom: -0.327

Unit cell a=7.184 b=7.184 c=17.557 alpha=109.81 beta=109.81 gamma=35.24
Positions (direct):
Sn (0.000, 0.000, 0.000)
Sn (0.214, 0.214, 0.276)
Sn (0.384, 0.384, 0.527)
Sn (0.400, 0.400, 0.062)
Sn (0.600, 0.600, 0.938)
Sn (0.616, 0.616, 0.473)
Sn (0.786, 0.786, 0.724)
S (0.192, 0.192, 0.420)
S (0.808, 0.808, 0.580)
I (0.113, 0.113, 0.626)
I (0.264, 0.264, 0.880)
I (0.461, 0.461, 0.751)
I (0.539, 0.539, 0.249)
I (0.736, 0.736, 0.120)
I (0.887, 0.887, 0.374)

---

# 17
Tl2SnSI: optimized geometry, PBEsol.

Computed properties:
Space-group type: P4/mmm (123)
Electronic total energy in eV for the cell shown: -13.46
Size of the total moment in μB/atom: 0.12
Fermi-level density of states in states/eV per atom: 0.8204
E_form (uncorrected) in eV per atom: 0.441

Unit cell a=5.755 b=5.755 c=5.645 alpha=90.00 beta=90.00 gamma=90.00
Positions (direct):
Tl (0.000, 0.500, 0.000)
Tl (0.500, 0.000, 0.000)
Sn (0.000, 0.000, 0.000)
S (0.500, 0.500, 0.500)
I (0.000, 0.000, 0.500)

---

# 18
SrSI: optimized geometry, PBEsol.

Computed properties:
Space-group type: P4/nmm (129)
Electronic total energy in eV for the cell shown: -24.30
Size of the total moment in μB/atom: 0.00
Fermi-level density of states in states/eV per atom: 0.3142
E_form (uncorrected) in eV per atom: -1.387

Unit cell a=5.630 b=5.630 c=5.980 alpha=90.00 beta=90.00 gamma=90.00
Positions (direct):
Sr (0.250, 0.750, 0.000)
Sr (0.750, 0.250, 0.000)
S (0.250, 0.250, 0.146)
S (0.750, 0.750, 0.854)
I (0.250, 0.250, 0.636)
I (0.750, 0.750, 0.364)

---

# 19
TaS2I: optimized geometry, PBEsol.

Computed properties:
Space-group type: R-3m (166)
Electronic total energy in eV for the cell shown: -26.04
Size of the total moment in μB/atom: 0.00
Fermi-level density of states in states/eV per atom: 0.5394
E_form (uncorrected) in eV per atom: -0.739

Unit cell a=10.943 b=10.943 c=10.943 alpha=17.49 beta=17.49 gamma=17.49
Positions (direct):
Ta (0.000, 0.000, 0.000)
S (0.381, 0.381, 0.381)
S (0.619, 0.619, 0.619)
I (0.500, 0.500, 0.500)

---

# 20
TcSI3: optimized geometry, PBEsol.

Computed properties:
Space-group type: Pm-3m (221)
Electronic total energy in eV for the cell shown: -15.20
Size of the total moment in μB/atom: 1.00
Fermi-level density of states in states/eV per atom: 0.9981
E_form (uncorrected) in eV per atom: 1.151

Unit cell a=5.405 b=5.405 c=5.405 alpha=90.00 beta=90.00 gamma=90.00
Positions (direct):
Tc (0.000, 0.000, 0.000)
S (0.500, 0.500, 0.500)
I (0.000, 0.500, 0.500)
I (0.500, 0.000, 0.500)
I (0.500, 0.500, 0.000)